SmEr6Tm3Sc2: optimized geometry, PBE.

```
12
Lattice="6.008 0.002 0.005 -3.001 5.205 0.005 -1.007 -1.743 11.338" Properties=species:S:1:pos:R:3 pbc="T T T"
Sm 0.000 0.000 0.000
Er 3.005 1.714 8.540
Er 1.999 3.461 2.811
Er -1.005 1.749 2.807
Er -0.017 3.460 8.540
Er 0.001 0.002 8.536
Er 2.017 0.003 2.807
Tm -1.998 3.463 5.673
Tm 3.998 0.000 5.673
Tm 1.000 1.732 5.673
Sc 0.002 3.470 0.005
Sc 3.004 1.736 0.005
```

Computed properties:
- Calculated volume: 354.66 Å³/cell
- Space-group type: No. 12
- E_form: 38 meV per atom
- Calculated total energy: -4.81 eV/atom